Material: TaWNO2
Method: DFT, PBE with a Hubbard U
State: optimized geometry

Results
crystal system = tetragonal
size of the total moment = 2.5 μB per formula unit
D(E_F) = 0.58 states/eV/atom
E = -7.576 eV per atom

Lattice parameters (Å, degrees): 3.903 3.903 4.090 90.00 90.00 90.00
Element x y z (fractional)
N 0.000 0.000 0.500
O 0.000 0.500 0.000
O 0.500 0.000 0.000
W 0.000 0.000 0.000
Ta 0.500 0.500 0.500